First-principles (meta-GGA SCAN) data for Ca2AlPt at its PBEsol-relaxed geometry, as listed in Alexandria.

a b c (Å): 4.1954 4.3460 10.8741
angles (deg): 90.00 90.00 90.00
Space group Amm2 (No. 38)
Symmetry-distinct sites (fractional):
1 Ca 0.0000 0.0000 0.0000 [2 per cell]
2 Ca 0.5000 0.0000 0.2926 [2 per cell]
3 Al 0.5000 0.0000 0.5929 [2 per cell]
4 Pt 0.0000 0.0000 0.7096 [2 per cell]

Calculated values
The value obtained for the calculated density is 5.1 Mg/m³. The total energy is -25.1075 eV per atom. The value obtained for the density of states at the Fermi level is 4.0 states/eV per cell. The calculation puts the calculated formation energy at -3.2 eV/f.u.